[1]
VASP calculation (meta-GGA SCAN) on a PBEsol-optimized structure of RbEuS2.

a b c (Å): 4.1425 4.1425 7.8880
angles (deg): 74.78 74.78 60.00
Fractional coordinates of all 4 atoms:
1 S 0.7683 0.7683 0.6951
2 S 0.2317 0.2317 0.3049
3 Eu 0.5000 0.5000 0.5000
4 Rb 0.0000 0.0000 0.0000

Summary:
The uncorrected formation energy comes out at -1.7576 eV per atom. Its space group is No. 166.

[2]
VASP calculation (meta-GGA SCAN) on a PBEsol-optimized structure of EuSi2Rh2.

a b c (Å): 4.0533 4.0533 5.8062
angles (deg): 110.43 110.43 90.00
Fractional coordinates of all 5 atoms:
1 Si 0.6266 0.6266 0.2532
2 Si 0.3734 0.3734 0.7468
3 Eu 0.0000 0.0000 0.0000
4 Rh 0.2500 0.7500 0.5000
5 Rh 0.7500 0.2500 0.5000

Summary:
The uncorrected formation energy comes out at -1.0960 eV per atom. Its space group is No. 139.

[3]
VASP calculation (meta-GGA SCAN) on a PBEsol-optimized structure of SmEuRh2.

a b c (Å): 4.8565 4.8565 4.8565
angles (deg): 60.00 60.00 60.00
Fractional coordinates of all 4 atoms:
1 Eu 0.5000 0.5000 0.5000
2 Sm 0.0000 0.0000 0.0000
3 Rh 0.7500 0.7500 0.7500
4 Rh 0.2500 0.2500 0.2500

Summary:
The electronic total energy comes out at -42.014 eV per atom. Its space group is No. 225.

[4]
VASP calculation (meta-GGA SCAN) on a PBEsol-optimized structure of TbEuRh2.

a b c (Å): 4.8145 4.8145 4.8145
angles (deg): 60.00 60.00 60.00
Fractional coordinates of all 4 atoms:
1 Eu 0.5000 0.5000 0.5000
2 Tb 0.0000 0.0000 0.0000
3 Rh 0.2500 0.2500 0.2500
4 Rh 0.7500 0.7500 0.7500

Summary:
The electronic total energy comes out at -42.647 eV per atom. Its space group is No. 225.